# 1
A plane-wave DFT calculation with PBE was carried out for a relaxed LiSnTe3Au crystal.

Results
As for the crystal system: orthorhombic. For the total energy, the calculation gives -3.35 eV per atom.

Cell: 7.023 7.023 12.086 Å, 90.00 90.00 146.25°
Atoms (fractional coordinates):
Li 0.204 0.796 0.750
Li 0.796 0.204 0.250
Sn 0.000 0.000 0.000
Sn 0.000 0.000 0.500
Te 0.097 0.903 0.250
Te 0.338 0.662 0.063
Te 0.338 0.662 0.437
Te 0.662 0.338 0.563
Te 0.662 0.338 0.937
Te 0.903 0.097 0.750
Au 0.458 0.542 0.250
Au 0.542 0.458 0.750

# 2
A plane-wave DFT calculation with PBE was carried out for a relaxed YErC2I2 crystal.

Results
As for the crystal system: monoclinic. For the total energy, the calculation gives -6.28 eV per atom.

Cell: 7.297 3.884 11.221 Å, 90.00 93.31 90.00°
Atoms (fractional coordinates):
Y 0.000 0.000 0.000
Y 0.500 0.500 0.000
Er 0.291 0.000 0.243
Er 0.791 0.500 0.243
C 0.068 0.500 0.152
C 0.223 0.500 0.096
C 0.568 0.000 0.152
C 0.723 0.000 0.096
I 0.321 0.000 0.811
I 0.468 0.500 0.430
I 0.821 0.500 0.811
I 0.968 0.000 0.430

# 3
A plane-wave DFT calculation with PBE was carried out for a relaxed TbSmFe2Si4 crystal.

Results
As for the crystal system: monoclinic. For the total energy, the calculation gives -6.67 eV per atom.

Cell: 4.295 3.986 8.001 Å, 90.00 103.54 90.00°
Atoms (fractional coordinates):
Tb 0.000 0.000 0.000
Sm 0.205 0.500 0.412
Fe 0.489 0.500 0.818
Fe 0.721 0.000 0.599
Si 0.278 0.000 0.704
Si 0.559 0.500 0.108
Si 0.648 0.000 0.303
Si 0.932 0.500 0.715

# 4
A plane-wave DFT calculation with PBE was carried out for a relaxed Ag3I4 crystal.

Results
The value obtained for the polymorph energy (0 for the lowest one) is 0 meV per atom. As for the crystal system: tetragonal. For the total energy, the calculation gives -2.29 eV per atom.

Cell: 6.356 6.356 12.721 Å, 90.00 90.00 90.00°
Atoms (fractional coordinates):
Ag 0.000 0.000 0.000
Ag 0.000 0.000 0.500
Ag 0.000 0.500 0.250
Ag 0.500 0.000 0.750
Ag 0.500 0.500 0.000
Ag 0.500 0.500 0.500
I 0.232 0.266 0.866
I 0.234 0.732 0.634
I 0.266 0.768 0.134
I 0.268 0.234 0.366
I 0.732 0.766 0.366
I 0.734 0.232 0.134
I 0.766 0.268 0.634
I 0.768 0.734 0.866

# 5
A plane-wave DFT calculation with PBE was carried out for a relaxed ZrTlCdTe3 crystal.

Results
The value obtained for the polymorph energy (0 for the lowest one) is 0 meV per atom. As for the crystal system: monoclinic. For the total energy, the calculation gives -4.07 eV per atom.

Cell: 8.573 4.187 11.411 Å, 90.00 111.70 90.00°
Atoms (fractional coordinates):
Zr 0.161 0.250 0.128
Zr 0.839 0.750 0.872
Tl 0.237 0.750 0.697
Tl 0.763 0.250 0.303
Cd 0.429 0.750 0.380
Cd 0.571 0.250 0.620
Te 0.074 0.250 0.861
Te 0.227 0.250 0.425
Te 0.415 0.750 0.132
Te 0.585 0.250 0.868
Te 0.773 0.750 0.575
Te 0.926 0.750 0.139

# 6
A plane-wave DFT calculation with PBE was carried out for a relaxed KAlRe crystal.

Results
The value obtained for the polymorph energy (0 for the lowest one) is 730 meV per atom. As for the crystal system: cubic. For the total energy, the calculation gives -3.30 eV per atom.

Cell: 7.000 7.000 7.000 Å, 90.00 90.00 90.00°
Atoms (fractional coordinates):
K 0.000 0.000 0.000
K 0.000 0.500 0.500
K 0.500 0.000 0.500
K 0.500 0.500 0.000
Al 0.250 0.250 0.750
Al 0.250 0.750 0.250
Al 0.750 0.250 0.250
Al 0.750 0.750 0.750
Re 0.250 0.250 0.250
Re 0.250 0.750 0.750
Re 0.750 0.250 0.750
Re 0.750 0.750 0.250

# 7
A plane-wave DFT calculation with PBE was carried out for a relaxed BeNi2Pt crystal.

Results
As for the crystal system: cubic. For the total energy, the calculation gives -5.47 eV per atom.

Cell: 5.663 5.663 5.663 Å, 90.00 90.00 90.00°
Atoms (fractional coordinates):
Be 0.000 0.000 0.000
Be 0.000 0.500 0.500
Be 0.500 0.000 0.500
Be 0.500 0.500 0.000
Ni 0.000 0.000 0.500
Ni 0.000 0.500 0.000
Ni 0.250 0.250 0.750
Ni 0.250 0.750 0.250
Ni 0.500 0.000 0.000
Ni 0.500 0.500 0.500
Ni 0.750 0.250 0.250
Ni 0.750 0.750 0.750
Pt 0.250 0.250 0.250
Pt 0.250 0.750 0.750
Pt 0.750 0.250 0.750
Pt 0.750 0.750 0.250

# 8
A plane-wave DFT calculation with PBE was carried out for a relaxed LiLuCoSn crystal.

Results
The value obtained for the polymorph energy (0 for the lowest one) is 281 meV per atom. As for the crystal system: cubic. For the total energy, the calculation gives -4.50 eV per atom.

Cell: 6.623 6.623 6.623 Å, 90.00 90.00 90.00°
Atoms (fractional coordinates):
Li 0.000 0.000 0.000
Li 0.000 0.500 0.500
Li 0.500 0.000 0.500
Li 0.500 0.500 0.000
Lu 0.250 0.250 0.250
Lu 0.250 0.750 0.750
Lu 0.750 0.250 0.750
Lu 0.750 0.750 0.250
Co 0.250 0.250 0.750
Co 0.250 0.750 0.250
Co 0.750 0.250 0.250
Co 0.750 0.750 0.750
Sn 0.000 0.000 0.500
Sn 0.000 0.500 0.000
Sn 0.500 0.000 0.000
Sn 0.500 0.500 0.500

# 9
A plane-wave DFT calculation with PBE was carried out for a relaxed Be2PdPt2 crystal.

Results
As for the crystal system: tetragonal. For the total energy, the calculation gives -5.54 eV per atom.

Cell: 6.682 6.682 2.783 Å, 90.00 90.00 90.00°
Atoms (fractional coordinates):
Be 0.139 0.361 0.000
Be 0.361 0.861 0.000
Be 0.639 0.139 0.000
Be 0.861 0.639 0.000
Pd 0.000 0.000 0.000
Pd 0.500 0.500 0.000
Pt 0.155 0.655 0.500
Pt 0.345 0.155 0.500
Pt 0.655 0.845 0.500
Pt 0.845 0.345 0.500

# 10
A plane-wave DFT calculation with PBE was carried out for a relaxed Cu5Ag4 crystal.

Results
The value obtained for the polymorph energy (0 for the lowest one) is 79 meV per atom. The calculation puts the formation energy at 0.1190 eV/atom. As for the crystal system: trigonal. For the total energy, the calculation gives -3.20 eV per atom.

Cell: 2.785 2.785 19.745 Å, 90.00 90.00 120.00°
Atoms (fractional coordinates):
Cu 0.000 0.000 0.000
Cu 0.333 0.667 0.224
Cu 0.333 0.667 0.549
Cu 0.667 0.333 0.451
Cu 0.667 0.333 0.776
Ag 0.000 0.000 0.337
Ag 0.000 0.000 0.663
Ag 0.333 0.667 0.888
Ag 0.667 0.333 0.112

# 11
A plane-wave DFT calculation with PBE was carried out for a relaxed LiFeGe2 crystal.

Results
As for the crystal system: cubic. For the total energy, the calculation gives -4.62 eV per atom.

Cell: 6.249 6.249 6.249 Å, 90.00 90.00 90.00°
Atoms (fractional coordinates):
Li 0.000 0.000 0.000
Li 0.000 0.500 0.500
Li 0.500 0.000 0.500
Li 0.500 0.500 0.000
Fe 0.250 0.250 0.250
Fe 0.250 0.750 0.750
Fe 0.750 0.250 0.750
Fe 0.750 0.750 0.250
Ge 0.000 0.000 0.500
Ge 0.000 0.500 0.000
Ge 0.250 0.250 0.750
Ge 0.250 0.750 0.250
Ge 0.500 0.000 0.000
Ge 0.500 0.500 0.500
Ge 0.750 0.250 0.250
Ge 0.750 0.750 0.750

# 12
A plane-wave DFT calculation with PBE was carried out for a relaxed TbMg2Pb crystal.

Results
As for the crystal system: tetragonal. For the total energy, the calculation gives -3.17 eV per atom.

Cell: 4.567 4.567 4.806 Å, 90.00 90.00 90.00°
Atoms (fractional coordinates):
Tb 0.000 0.000 0.000
Mg 0.000 0.500 0.500
Mg 0.500 0.000 0.500
Pb 0.500 0.500 0.000